No. 1
Material: DyPIrO
Method: DFT, PBE
State: relaxed

Geometry as extended XYZ:
```
8
Lattice="5.6131 0.0000 0.0000 0.0000 5.6131 0.0000 0.0000 0.0000 4.4382" Properties=species:S:1:pos:R:3 pbc="T T T"
Dy 1.4033 4.2098 0.0000
Dy 4.2098 1.4033 0.0000
P 1.4033 1.4033 0.0427
P 4.2098 4.2098 4.3954
Ir 1.4033 1.4033 2.2615
Ir 4.2098 4.2098 2.1767
O 1.4033 4.2098 2.2191
O 4.2098 1.4033 2.2191
```

Values from the calculation:
space-group type = No. 129
E = -53.973 eV/cell

---

No. 2
Material: DyPIrO
Method: DFT, PBE
State: relaxed

Geometry as extended XYZ:
```
8
Lattice="4.6040 0.0000 0.0000 0.0000 4.2063 0.0000 0.0000 0.0000 6.4476" Properties=species:S:1:pos:R:3 pbc="T T T"
Dy 0.0000 0.8849 0.0000
Dy 0.0000 3.3214 3.2238
P 2.3020 0.7714 4.4729
P 2.3020 3.4349 1.2491
Ir 2.3020 1.3386 2.2315
Ir 2.3020 2.8677 5.4553
O 0.0000 1.2692 2.2291
O 0.0000 2.9371 5.4530
```

Values from the calculation:
space-group type = No. 26
E = -59.185 eV/cell

---

No. 3
Material: DyYP2Ir2O2
Method: DFT, PBE
State: relaxed

Geometry as extended XYZ:
```
8
Lattice="3.9545 0.0000 0.0000 0.0000 3.9545 0.0000 0.0000 0.0000 7.9945" Properties=species:S:1:pos:R:3 pbc="T T T"
Dy 0.0000 0.0000 0.0000
Y 1.9773 1.9773 2.1718
P 0.0000 0.0000 3.7649
P 1.9773 1.9773 6.3933
Ir 0.0000 1.9773 5.0794
Ir 1.9773 0.0000 5.0794
O 0.0000 1.9773 1.0762
O 1.9773 0.0000 1.0762
```

Values from the calculation:
space-group type = No. 99
E = -65.216 eV/cell

---

No. 4
Material: DyIrS2O
Method: DFT, PBE
State: relaxed

Geometry as extended XYZ:
```
10
Lattice="5.7239 -1.8412 0.0000 5.7239 1.8412 0.0000 -0.4536 0.0000 7.5267" Properties=species:S:1:pos:R:3 pbc="T T T"
Dy 2.5232 0.0000 2.2260
Dy 8.4709 0.0000 5.3008
Ir 0.0000 0.0000 0.0000
Ir 5.4971 0.0000 3.7634
S 0.2597 0.0000 5.2407
S 3.7101 0.0000 7.4166
S 7.2840 0.0000 0.1101
S 10.7344 0.0000 2.2860
O 3.4806 0.0000 4.2860
O 7.5135 0.0000 3.2408
```

Values from the calculation:
space-group type = No. 12
E = -69.763 eV/cell

---

No. 5
Material: TbDySb2Ir2O2
Method: DFT, PBE
State: relaxed

Geometry as extended XYZ:
```
8
Lattice="4.1386 0.0000 0.0000 0.0000 4.1386 0.0000 0.0000 0.0000 8.5420" Properties=species:S:1:pos:R:3 pbc="T T T"
Tb 0.0000 0.0000 0.0000
Dy 2.0693 2.0693 6.5215
Sb 0.0000 0.0000 4.8458
Sb 2.0693 2.0693 1.6650
Ir 0.0000 2.0693 3.2548
Ir 2.0693 0.0000 3.2548
O 0.0000 2.0693 7.5172
O 2.0693 0.0000 7.5172
```

Values from the calculation:
space-group type = No. 99
E = -58.464 eV/cell

---

No. 6
Material: DyIrSe2O
Method: DFT, PBE
State: relaxed

Geometry as extended XYZ:
```
10
Lattice="5.7875 -1.9258 0.0000 5.7875 1.9258 0.0000 -0.4696 0.0000 7.8703" Properties=species:S:1:pos:R:3 pbc="T T T"
Dy 2.4176 0.0000 2.4368
Dy 8.6878 0.0000 5.4335
Ir 0.0000 0.0000 0.0000
Ir 5.5527 0.0000 3.9352
Se 0.2925 0.0000 5.4921
Se 3.6679 0.0000 7.7623
Se 7.4375 0.0000 0.1080
Se 10.8128 0.0000 2.3782
O 3.5025 0.0000 4.4395
O 7.6028 0.0000 3.4308
```

Values from the calculation:
space-group type = No. 12
E = -66.230 eV/cell

---

No. 7
Material: Sm2DyIrO6
Method: DFT, PBE
State: relaxed

Geometry as extended XYZ:
```
20
Lattice="5.5541 0.0000 0.0000 0.0000 5.9431 0.0000 -5.1153 0.0000 7.9211" Properties=species:S:1:pos:R:3 pbc="T T T"
Sm -0.0495 0.4202 1.9690
Sm -2.6072 2.5514 5.9296
Sm 3.0459 3.3917 1.9915
Sm 0.4882 5.5229 5.9521
Dy 2.7770 0.0000 0.0000
Dy 0.2194 2.9715 3.9606
Ir -2.5577 0.0000 3.9606
Ir 0.0000 2.9715 0.0000
O -4.1634 1.1769 7.4270
O -1.6057 1.7946 3.4664
O -3.4509 4.1160 7.4372
O -0.8933 4.7987 3.4766
O -1.6753 0.3544 5.8209
O 0.8824 2.6172 1.8603
O -0.4436 3.3259 6.0608
O 2.1140 5.5887 2.1003
O 1.3320 1.1444 4.4445
O 3.8897 1.8271 0.4839
O 2.0444 4.1484 4.4547
O 4.6021 4.7662 0.4942
```

Values from the calculation:
space-group type = No. 14
E = -158.688 eV/cell

---

No. 8
Material: DyIrOs
Method: DFT, PBE
State: relaxed

Geometry as extended XYZ:
```
3
Lattice="0.0000 3.1603 3.1603 3.1603 0.0000 3.1603 3.1603 3.1603 0.0000" Properties=species:S:1:pos:R:3 pbc="T T T"
Dy 0.0000 0.0000 0.0000
Ir 4.7404 4.7404 4.7404
Os 1.5801 1.5801 1.5801
```

Values from the calculation:
space-group type = No. 216
calculated formation energy = 1.04 eV/atom

---

Total magnetization / μB/atom: 0.00 0.00 0.00 0.00 0.00 0.00 0.00 0.01